Record 1
Below is a relaxed structure of Sr3LaP, with properties calculated at the PBE level.

abc: 5.950 5.950 5.950
angles: 90.00 90.00 90.00
Positions (direct):
Sr 0.000 0.500 0.000
Sr 0.000 0.000 0.500
La 0.000 0.000 0.000
P 0.500 0.500 0.500
Sr 0.500 0.000 0.000

Properties
**Distance to the lowest polymorph of the same formula**: 6.56 eV/f.u.
**SG**: No. 221
**Formation enthalpy at 0 K**: 1.0694 eV per atom
**VASP energy**: -2.007 eV per atom


Record 2
Below is a relaxed structure of Dy5Te8, with properties calculated at the PBE level.

abc: 8.673 8.673 8.471
angles: 104.06 105.68 119.91
Positions (direct):
Dy 0.260 0.268 0.528
Te 0.295 0.973 0.268
Te 0.719 0.548 0.750
Dy 0.239 0.739 0.500
Te 0.790 0.453 0.244
Te 0.705 0.027 0.732
Te 0.281 0.452 0.250
Te 0.210 0.547 0.756
Dy 0.000 0.000 0.000
Te 0.202 0.031 0.750
Te 0.798 0.969 0.250
Dy 0.761 0.261 0.500
Dy 0.740 0.732 0.472

Properties
**SG**: No. 12
**VASP energy**: -5.001 eV per atom
**Formation energy from raw total energies**: -1.30 eV/atom


Record 3
Below is a relaxed structure of La10Pr4Ho, with properties calculated at the PBE level.

abc: 9.499 8.901 8.901
angles: 73.46 57.75 57.75
Positions (direct):
La 0.526 0.000 0.296
La 0.177 0.000 0.296
La 0.823 0.000 0.704
La 0.474 0.704 0.000
La 0.474 0.000 0.704
Ho 0.000 0.000 0.000
La 0.250 0.500 0.500
Pr 0.297 0.703 0.703
La 0.750 0.500 0.500
Pr 0.000 0.703 0.297
La 0.822 0.704 0.000
La 0.526 0.296 0.000
Pr 0.703 0.297 0.297
Pr 0.000 0.297 0.703
La 0.178 0.296 0.000

Properties
**SG**: No. 139
**Formation enthalpy at 0 K**: 0.2511 eV per atom
**VASP energy**: -4.614 eV per atom


Number 2 is which compound?
Dy5Te8


VASP energy of number 2 (Dy5Te8)?
-5.001 eV per atom


Among the records above, which one has the lowest VASP energy?
Dy5Te8


Copy entry 1 word for word.
Below is a relaxed structure of Sr3LaP, with properties calculated at the PBE level.

abc: 5.950 5.950 5.950
angles: 90.00 90.00 90.00
Positions (direct):
Sr 0.000 0.500 0.000
Sr 0.000 0.000 0.500
La 0.000 0.000 0.000
P 0.500 0.500 0.500
Sr 0.500 0.000 0.000

Properties
**Distance to the lowest polymorph of the same formula**: 6.56 eV/f.u.
**SG**: No. 221
**Formation enthalpy at 0 K**: 1.0694 eV per atom
**VASP energy**: -2.007 eV per atom